La6Sm2YEr: relaxed, PBE.

E = -4.8161 eV per atom
DOS at the Fermi energy = 17.3 states/eV/cell

Unit cell a=6.750 b=6.750 c=9.241 alpha=104.82 beta=104.82 gamma=62.57
Fractional coordinates of all 10 atoms:
La  0.073  0.534  0.196
La  0.128  0.128  0.421
La  0.466  0.927  0.804
La  0.534  0.073  0.196
La  0.872  0.872  0.579
La  0.927  0.466  0.804
Sm  0.426  0.426  0.829
Sm  0.574  0.574  0.171
Y  0.500  0.500  0.500
Er  0.000  0.000  0.000